## AlCdSe2 (GGA-PBE)

Data for an optimized crystal structure of AlCdSe2.

POSCAR file:
```
AlCdSe2
1.0
5.762 -0.001 0.006
1.697 5.506 -0.006
-2.815 -3.991 3.057
Cd Se Al
1 2 1
Direct
0.250 0.750 0.500
0.569 0.569 0.000
0.931 0.931 0.000
0.750 0.250 0.500
```

Calculated values
* excess energy over the best structure of this formula in the dataset: 1.35 eV per formula unit
* energy: -3.096 eV/atom
* energy relative to the elements, uncorrected: -0.189 eV/atom
* symmetry: Immm (71)